Rb4Pa3FeO12: relaxed, GGA+U.

As for the raw total energy: -7.398 eV/atom.

Unit cell a=8.6516 b=8.6516 c=8.6516 alpha=90.00 beta=90.00 gamma=90.00
With the nearest neighbours (Å) after each atom.
Space group Im-3m (No. 229)
Inequivalent atoms, fractional coordinates:
Rb (0.2500, 0.2500, 0.2500) (multiplicity 8)  12 O 3.06
Pa (0.0000, 0.0000, 0.5000) (multiplicity 6)  6 O 2.16-2.20
Fe (0.0000, 0.0000, 0.0000) (multiplicity 2)  6 O 2.13
O (0.0000, 0.0000, 0.2460) (multiplicity 12)  1 Fe 2.13, 1 Pa 2.20
O (0.0000, 0.2500, 0.5000) (multiplicity 12)  2 Pa 2.16